# Fe4Sb12Pb, optimized geometry, DFT GGA-PBE
# Total magnetization: 4.2 μB/cell
# DFT total energy: -0.377 Ry/atom
# Energy relative to the elements, uncorrected: -0.017 eV/atom
data_Fe4Sb12Pb
_chemical_formula_sum 'Fe8 Sb24 Pb2'
_cell_length_a 9.2286
_cell_length_b 9.2286
_cell_length_c 9.2286
_cell_angle_alpha 90.00
_cell_angle_beta 90.00
_cell_angle_gamma 90.00
_symmetry_space_group_name_H-M 'I m -3'
_symmetry_Int_Tables_number 204
_symmetry_space_group_name_Hall '-I 2 2 3'
loop_
_atom_site_label
_atom_site_type_symbol
_atom_site_fract_x
_atom_site_fract_y
_atom_site_fract_z
Fe1 Fe 0.2500 0.2500 0.2500
Sb1 Sb 0.0000 0.3337 0.1616
Pb1 Pb 0.0000 0.0000 0.0000